Computed, not measured: Cs3Nb2Se11 after structural relaxation at the GGA-PBEsol level of DFT.

Summary:
* E_form (uncorrected): -768 meV per atom

a b c (Å): 12.5490 8.3965 20.2354
angles (deg): 90.00 104.57 90.00
Space group P2_1/c (No. 14)
Symmetry-distinct sites (fractional):
Cs  0.0034  0.1623  0.3354 x4
Cs  0.2389  0.2007  0.1201 x4
Cs  0.4567  0.1379  0.3587 x4
Nb  0.1979  0.7444  0.9982 x4
Nb  0.2856  0.6228  0.3453 x4
Se  0.0024  0.1406  0.5095 x4
Se  0.0696  0.5061  0.4582 x4
Se  0.0998  0.7480  0.3514 x4
Se  0.2033  0.6239  0.7823 x4
Se  0.2247  0.0968  0.7723 x4
Se  0.2453  0.0433  0.4731 x4
Se  0.2608  0.0221  0.9573 x4
Se  0.2620  0.7212  0.6177 x4
Se  0.3742  0.6607  0.9620 x4
Se  0.4668  0.7026  0.3143 x4
Se  0.4848  0.5491  0.4149 x4

---

Computed, not measured: TlAu after structural relaxation at the GGA-PBEsol level of DFT.

Summary:
* formation energy from the elements: -0.016 eV/atom
* density of states at the Fermi level: 1.23 states/eV per cell

a b c (Å): 3.8623 4.2139 5.7981
angles (deg): 90.00 108.77 90.00
Space group P2_1/m (No. 11)
Symmetry-distinct sites (fractional):
Tl  0.1531  0.2500  0.3000 x2
Au  0.4072  0.2500  0.8313 x2

---

Computed, not measured: ZnCdHg3 after structural relaxation at the GGA-PBEsol level of DFT.

Summary:
* formation energy from the elements: 0.408 eV/atom
* density of states at the Fermi level: 1.34 states/eV per cell

a b c (Å): 5.3992 5.3992 5.3992
angles (deg): 90.00 90.00 90.00
Space group Pm-3m (No. 221)
Symmetry-distinct sites (fractional):
Zn  0.0000  0.0000  0.0000 x1
Cd  0.5000  0.5000  0.5000 x1
Hg  0.0000  0.5000  0.5000 x3

---

Computed, not measured: Ti2HSe after structural relaxation at the GGA-PBEsol level of DFT.

Summary:
* density of states at the Fermi level: 14.90 states/eV per cell
* energy: -6.61 eV/atom

a b c (Å): 5.9252 5.9252 5.7139
angles (deg): 90.00 90.00 90.00
Space group I-42d (No. 122)
Symmetry-distinct sites (fractional):
Ti  0.1567  0.7500  0.1250 x8
H  0.0000  0.0000  0.0000 x4
Se  0.0000  0.0000  0.5000 x4

---

Computed, not measured: LiTaTe2 after structural relaxation at the GGA-PBEsol level of DFT.

Summary:
* density of states at the Fermi level: 2.19 states/eV per cell
* E_form (uncorrected): -189 meV per atom

a b c (Å): 3.6524 4.3248 5.5552
angles (deg): 90.00 90.00 90.00
Space group Pmm2 (No. 25)
Symmetry-distinct sites (fractional):
Li  0.0000  0.0000  0.0000 x1
Ta  0.5000  0.5000  0.4909 x1
Te  0.0000  0.0000  0.4974 x1
Te  0.5000  0.5000  0.9921 x1

---

Computed, not measured: BaZn2OsSe after structural relaxation at the GGA-PBEsol level of DFT.

Summary:
* density of states at the Fermi level: 4.75 states/eV per cell
* E_form (uncorrected): 2047 meV per atom

a b c (Å): 5.8042 5.8042 5.2871
angles (deg): 90.00 90.00 90.00
Space group P4/mmm (No. 123)
Symmetry-distinct sites (fractional):
Ba  0.0000  0.0000  0.0000 x1
Zn  0.0000  0.5000  0.0000 x2
Os  0.0000  0.0000  0.5000 x1
Se  0.5000  0.5000  0.5000 x1

---

Computed, not measured: CoIr5 after structural relaxation at the GGA-PBEsol level of DFT.

Summary:
* formation energy from the elements: 0.064 eV/atom
* density of states at the Fermi level: 14.33 states/eV per cell

a b c (Å): 4.3240 2.7076 13.9302
angles (deg): 90.00 90.00 90.00
Space group Amm2 (No. 38)
Symmetry-distinct sites (fractional):
Co  0.0000  0.0000  0.0000 x2
Ir  0.0000  0.0000  0.3375 x2
Ir  0.0000  0.0000  0.6637 x2
Ir  0.5000  0.0000  0.2217 x2
Ir  0.5000  0.0000  0.5540 x2
Ir  0.5000  0.0000  0.8927 x2

---

Computed, not measured: ZnGa2OsAu after structural relaxation at the GGA-PBEsol level of DFT.

Summary:
* formation energy from the elements: 0.526 eV/atom
* density of states at the Fermi level: 3.38 states/eV per cell

a b c (Å): 4.6828 4.6828 4.7596
angles (deg): 90.00 90.00 90.00
Space group P4/mmm (No. 123)
Symmetry-distinct sites (fractional):
Zn  0.0000  0.0000  0.0000 x1
Ga  0.0000  0.5000  0.5000 x2
Os  0.0000  0.0000  0.5000 x1
Au  0.5000  0.5000  0.0000 x1

---

Computed, not measured: ZrCrCd after structural relaxation at the GGA-PBEsol level of DFT.

Summary:
* formation energy from the elements: 0.233 eV/atom
* density of states at the Fermi level: 3.98 states/eV per cell
* excess energy over the best structure of this formula in the dataset: 0.000 eV per formula unit

a b c (Å): 3.1252 3.1252 11.3295
angles (deg): 90.00 90.00 90.00
Space group I4mm (No. 107)
Symmetry-distinct sites (fractional):
Zr  0.0000  0.0000  0.0000 x2
Cr  0.0000  0.0000  0.3502 x2
Cd  0.0000  0.0000  0.6952 x2

---

Computed, not measured: TcW after structural relaxation at the GGA-PBEsol level of DFT.

Summary:
* formation energy from the elements: 0.213 eV/atom
* density of states at the Fermi level: 7.59 states/eV per cell
* excess energy over the best structure of this formula in the dataset: 0.267 eV per formula unit

a b c (Å): 9.2773 2.7840 4.7185
angles (deg): 90.00 100.52 90.00
Space group C2/m (No. 12)
Symmetry-distinct sites (fractional):
Tc  0.1322  0.0000  0.3740 x4
W  0.1186  0.5000  0.8612 x4

---

Computed, not measured: NdY3S6 after structural relaxation at the GGA-PBEsol level of DFT.

Summary:
* E_form (uncorrected): -2146 meV per atom

a b c (Å): 10.9251 3.9347 11.2316
angles (deg): 90.00 108.77 90.00
Space group P2_1/m (No. 11)
Symmetry-distinct sites (fractional):
Nd  0.0488  0.2500  0.1947 x2
Y  0.1606  0.2500  0.5856 x2
Y  0.3192  0.7500  0.9979 x2
Y  0.4393  0.2500  0.3322 x2
S  0.0836  0.7500  0.4043 x2
S  0.1172  0.2500  0.9637 x2
S  0.1946  0.7500  0.7491 x2
S  0.2616  0.7500  0.2267 x2
S  0.3950  0.2500  0.5586 x2
S  0.4804  0.2500  0.1128 x2

---

Computed, not measured: Nb5N6 after structural relaxation at the GGA-PBEsol level of DFT.

Summary:
* density of states at the Fermi level: 7.82 states/eV per cell
* E_form (uncorrected): -1206 meV per atom

a b c (Å): 5.2140 5.2140 10.3827
angles (deg): 90.00 90.00 120.00
Space group P6_3/mcm (No. 193)
Symmetry-distinct sites (fractional):
Nb  0.0000  0.3254  0.2500 x6
Nb  0.3333  0.6667  0.0000 x4
N  0.0000  0.3379  0.6226 x12

---

Computed, not measured: NaScH3 after structural relaxation at the GGA-PBEsol level of DFT.

Summary:
* density of states at the Fermi level: 1.60 states/eV per cell
* energy: -3.87 eV/atom

a b c (Å): 3.8995 3.8995 3.8995
angles (deg): 90.00 90.00 90.00
Space group Pm-3m (No. 221)
Symmetry-distinct sites (fractional):
Na  0.0000  0.0000  0.0000 x1
Sc  0.5000  0.5000  0.5000 x1
H  0.0000  0.5000  0.5000 x3

---

Computed, not measured: AlSiRh2 after structural relaxation at the GGA-PBEsol level of DFT.

Summary:
* density of states at the Fermi level: 1.48 states/eV per cell
* E_form (uncorrected): -870 meV per atom

a b c (Å): 2.8431 3.1888 5.7020
angles (deg): 90.00 90.00 90.00
Space group Pmmm (No. 47)
Symmetry-distinct sites (fractional):
Al  0.0000  0.0000  0.0000 x1
Si  0.0000  0.0000  0.5000 x1
Rh  0.5000  0.5000  0.2596 x2

---

Computed, not measured: Na2W2O7 after structural relaxation at the GGA-PBEsol level of DFT.

Summary:
* density of states at the Fermi level: 0.00 states/eV per cell
* E_form (uncorrected): -2119 meV per atom
* excess energy over the best structure of this formula in the dataset: 0.167 eV per formula unit

a b c (Å): 7.2446 11.8967 14.7905
angles (deg): 90.00 90.00 90.00
Space group Cmce (No. 64)
Symmetry-distinct sites (fractional):
Na  0.0000  0.1687  0.1549 x8
Na  0.2485  0.0000  0.0000 x8
W  0.0000  0.2474  0.9137 x8
W  0.2500  0.0888  0.7500 x8
O  0.0000  0.1222  0.4699 x8
O  0.0000  0.1253  0.7183 x8
O  0.0000  0.1396  0.9973 x8
O  0.2008  0.0042  0.1608 x16
O  0.2035  0.2341  0.8430 x16

---

Computed, not measured: ScTaTl after structural relaxation at the GGA-PBEsol level of DFT.

Summary:
* formation energy from the elements: 0.716 eV/atom
* density of states at the Fermi level: 14.28 states/eV per cell
* excess energy over the best structure of this formula in the dataset: 1.758 eV per formula unit

a b c (Å): 6.5504 6.5504 6.5504
angles (deg): 90.00 90.00 90.00
Space group F-43m (No. 216)
Symmetry-distinct sites (fractional):
Sc  0.0000  0.0000  0.0000 x4
Ta  0.0000  0.0000  0.5000 x4
Tl  0.2500  0.2500  0.2500 x4

---

Computed, not measured: Y2TlCr after structural relaxation at the GGA-PBEsol level of DFT.

Summary:
* formation energy from the elements: 0.025 eV/atom
* density of states at the Fermi level: 3.33 states/eV per cell
* excess energy over the best structure of this formula in the dataset: 0.000 eV per formula unit

a b c (Å): 3.5877 3.5877 7.4418
angles (deg): 90.00 90.00 90.00
Space group P4/mmm (No. 123)
Symmetry-distinct sites (fractional):
Y  0.0000  0.0000  0.2293 x2
Tl  0.5000  0.5000  0.5000 x1
Cr  0.5000  0.5000  0.0000 x1

---

Computed, not measured: PbIBr2 after structural relaxation at the GGA-PBEsol level of DFT.

Summary:
* density of states at the Fermi level: 28.98 states/eV per cell
* E_form (uncorrected): -339 meV per atom
* excess energy over the best structure of this formula in the dataset: 0.187 eV per formula unit

a b c (Å): 9.5193 9.5193 6.2724
angles (deg): 90.00 90.00 90.00
Space group I-42d (No. 122)
Symmetry-distinct sites (fractional):
Pb  0.0000  0.0000  0.0000 x4
I  0.0000  0.0000  0.5000 x4
Br  0.1618  0.7500  0.1250 x8

---

Computed, not measured: ReAgHg after structural relaxation at the GGA-PBEsol level of DFT.

Summary:
* formation energy from the elements: 0.625 eV/atom
* density of states at the Fermi level: 5.53 states/eV per cell
* excess energy over the best structure of this formula in the dataset: 0.000 eV per formula unit

a b c (Å): 3.1870 4.4491 14.2416
angles (deg): 90.00 90.00 90.00
Space group Fmm2 (No. 42)
Symmetry-distinct sites (fractional):
Re  0.0000  0.0000  0.0000 x4
Ag  0.0000  0.0000  0.3395 x4
Hg  0.0000  0.0000  0.6696 x4

---

Computed, not measured: TlCd2Cl after structural relaxation at the GGA-PBEsol level of DFT.

Summary:
* density of states at the Fermi level: 3.87 states/eV per cell
* E_form (uncorrected): -83 meV per atom
* excess energy over the best structure of this formula in the dataset: 0.417 eV per formula unit

a b c (Å): 7.3785 7.3785 7.3785
angles (deg): 90.00 90.00 90.00
Space group Fm-3m (No. 225)
Symmetry-distinct sites (fractional):
Tl  0.0000  0.0000  0.0000 x4
Cd  0.2500  0.2500  0.2500 x8
Cl  0.0000  0.0000  0.5000 x4

---

Computed, not measured: Hg3S2Cl2 after structural relaxation at the GGA-PBEsol level of DFT.

Summary:
* density of states at the Fermi level: 0.82 states/eV per cell
* E_form (uncorrected): -347 meV per atom
* excess energy over the best structure of this formula in the dataset: 0.343 eV per formula unit

a b c (Å): 4.1511 10.1853 8.0865
angles (deg): 90.00 90.00 90.00
Space group Pmc2_1 (No. 26)
Symmetry-distinct sites (fractional):
Hg  0.0000  0.0002  0.0000 x2
Hg  0.0000  0.3004  0.2498 x2
Hg  0.5000  0.2648  0.7493 x2
S  0.0000  0.2352  0.5416 x2
S  0.0000  0.2356  0.9582 x2
Cl  0.5000  0.0314  0.2500 x2
Cl  0.5000  0.4723  0.2532 x2